Crystalline Be2AlIn at its relaxed geometry, computed with PBEsol.

## Properties
Total energy in eV/atom: -3.31
Distance to the lowest polymorph of the same formula in meV/atom: 100.3

a b c (Å): 3.9314 3.9314 4.6678
angles (deg): 114.90 114.90 90.00
Last column: nearest neighbours and their distance in Å.
Element x y z (fractional)
Al1 0.5000 0.5000 0.0000  8 Be 2.72, 4 In 2.78
In1 0.0000 0.0000 0.0000  8 Be 2.72, 4 Al 2.78
Be1 0.2500 0.7500 0.5000  4 In 2.72, 4 Al 2.72, 4 Be 2.78
Be2 0.7500 0.2500 0.5000  4 Al 2.72, 4 In 2.72, 4 Be 2.78

---

Crystalline BeAl2InO at its relaxed geometry, computed with PBEsol.

## Properties
Total energy in eV/atom: -3.74
Uncorrected formation energy in eV/atom: 0.35

a b c (Å): 4.1689 4.1689 4.6804
angles (deg): 90.00 90.00 90.00
Last column: nearest neighbours and their distance in Å.
Element x y z (fractional)
Al1 0.5000 0.0000 0.0000  2 Be 2.08
Al2 0.0000 0.5000 0.0000  2 Be 2.08
In1 0.0000 0.0000 0.5000  2 Be 2.34
Be1 0.0000 0.0000 0.0000  4 Al 2.08
O1 0.5000 0.5000 0.5000  4 In 2.95, 8 Al 3.13

---

Crystalline BeAlZnIn2 at its relaxed geometry, computed with PBEsol.

## Properties
Total energy in eV/atom: -2.70

a b c (Å): 4.3421 4.8842 4.8842
angles (deg): 90.00 90.00 90.00
Last column: nearest neighbours and their distance in Å.
Element x y z (fractional)
Al1 0.5000 0.0000 0.0000  2 Be 2.17
In1 0.0000 0.0000 0.5000  2 Be 2.44
Be1 0.0000 0.0000 0.0000  2 Al 2.17
In2 0.0000 0.5000 0.0000  2 Be 2.44
Zn1 0.5000 0.5000 0.5000  8 In 3.27, 4 Al 3.45

---

Crystalline BeAlIr2 at its relaxed geometry, computed with PBEsol.

## Properties
Total energy in eV/atom: -7.71
Distance to the lowest polymorph of the same formula in meV/atom: 0.0

a b c (Å): 2.8852 2.8852 5.7974
angles (deg): 90.00 90.00 90.00
Last column: nearest neighbours and their distance in Å.
Element x y z (fractional)
Be1 0.5000 0.5000 0.7500  8 Ir 2.45
Ir1 0.0000 0.0000 0.5152  4 Be 2.45, 4 Al 2.55, 1 Ir 2.72
Ir2 0.0000 0.0000 0.9848  4 Be 2.45, 4 Al 2.55, 1 Ir 2.72
Al1 0.5000 0.5000 0.2500  8 Ir 2.55

---

Crystalline BeAlIr2 at its relaxed geometry, computed with PBEsol.

## Properties
Total energy in eV/atom: -7.36
Distance to the lowest polymorph of the same formula in meV/atom: 344.6

a b c (Å): 2.7881 2.7881 7.7042
angles (deg): 79.58 79.58 60.00
Last column: nearest neighbours and their distance in Å.
Element x y z (fractional)
Al1 0.5000 0.5000 0.5000  6 Ir 2.57, 6 Al 2.79
Ir1 0.7445 0.7445 0.7665  3 Be 2.38, 3 Al 2.57
Be1 0.0000 0.0000 0.0000  6 Ir 2.38
Ir2 0.2555 0.2555 0.2335  3 Be 2.38, 3 Al 2.57

---

Crystalline Be4AlIr at its relaxed geometry, computed with PBEsol.

## Properties
Total energy in eV/atom: -5.57

a b c (Å): 4.3003 4.3003 4.3003
angles (deg): 60.00 60.00 60.00
Last column: nearest neighbours and their distance in Å.
Element x y z (fractional)
Be1 0.6248 0.1256 0.6248  6 Be 2.15
Al1 0.0000 0.0000 0.0000  12 Be 2.52, 4 Ir 2.63
Be2 0.1256 0.6248 0.6248  6 Be 2.15
Be3 0.6248 0.6248 0.6248  6 Be 2.15
Be4 0.6248 0.6248 0.1256  6 Be 2.15
Ir1 0.2500 0.2500 0.2500  12 Be 2.52, 4 Al 2.63